# PBE with a Hubbard U TiW2F, relaxed
data_TiW2F
_cell_length_a 6.529
_cell_length_b 6.529
_cell_length_c 6.529
_cell_angle_alpha 90.00
_cell_angle_beta 90.00
_cell_angle_gamma 90.00
_symmetry_space_group_name_H-M 'F m -3 m'
_symmetry_Int_Tables_number 225
_symmetry_space_group_name_Hall '-F 4 2 3'
loop_
_atom_site_label
_atom_site_type_symbol
_atom_site_fract_x
_atom_site_fract_y
_atom_site_fract_z
_atom_site_occupancy
Ti1 Ti 0.000 0.000 0.000 1
W1 W 0.250 0.250 0.250 1
F1 F 0.000 0.000 0.500 1
# offset from the most stable computed form	264	meV/atom
# energy	-5.097	eV/atom
# crystal system	cubic